Model 1:
Computed, not measured: a relaxed structure of Nd2Ag3 at the PBE level of DFT.

```
data_Nd2Ag3
_chemical_formula_sum 'Nd8 Ag12'
_cell_length_a 8.982
_cell_length_b 8.982
_cell_length_c 8.982
_cell_angle_alpha 109.47
_cell_angle_beta 109.47
_cell_angle_gamma 109.47
_symmetry_space_group_name_H-M 'P 1'
_symmetry_Int_Tables_number 1
loop_
_symmetry_equiv_pos_as_xyz
'x,y,z'
loop_
_atom_site_label
_atom_site_type_symbol
_atom_site_fract_x
_atom_site_fract_y
_atom_site_fract_z
Nd1 Nd 0.923 0.423 0.423
Nd2 Nd 0.000 0.000 0.077
Nd3 Nd 0.577 0.500 0.000
Nd4 Nd 0.500 0.077 0.500
Nd5 Nd 0.423 0.923 0.923
Nd6 Nd 0.000 0.000 0.577
Nd7 Nd 0.500 0.577 0.500
Nd8 Nd 0.077 0.500 0.000
Ag1 Ag 0.508 0.250 0.258
Ag2 Ag 0.992 0.750 0.242
Ag3 Ag 0.750 0.258 0.008
Ag4 Ag 0.250 0.242 0.492
Ag5 Ag 0.758 0.008 0.250
Ag6 Ag 0.742 0.492 0.750
Ag7 Ag 0.250 0.508 0.758
Ag8 Ag 0.750 0.992 0.742
Ag9 Ag 0.258 0.750 0.508
Ag10 Ag 0.242 0.250 0.992
Ag11 Ag 0.008 0.758 0.750
Ag12 Ag 0.492 0.742 0.250
```

=====

Model 2:
Computed, not measured: a relaxed structure of Nd2Ag3 at the PBE level of DFT.

```
data_Nd2Ag3
_chemical_formula_sum 'Nd4 Ag6'
_cell_length_a 3.629
_cell_length_b 4.845
_cell_length_c 14.447
_cell_angle_alpha 90.00
_cell_angle_beta 97.21
_cell_angle_gamma 90.00
_symmetry_space_group_name_H-M 'P 1'
_symmetry_Int_Tables_number 1
loop_
_symmetry_equiv_pos_as_xyz
'x,y,z'
loop_
_atom_site_label
_atom_site_type_symbol
_atom_site_fract_x
_atom_site_fract_y
_atom_site_fract_z
Nd1 Nd 0.291 0.750 0.583
Nd2 Nd 0.709 0.250 0.417
Nd3 Nd 0.573 0.750 0.146
Nd4 Nd 0.427 0.250 0.854
Ag1 Ag 0.173 0.750 0.346
Ag2 Ag 0.827 0.250 0.654
Ag3 Ag 0.881 0.750 0.762
Ag4 Ag 0.119 0.250 0.238
Ag5 Ag 0.023 0.250 0.046
Ag6 Ag 0.977 0.750 0.954
```

=====

How do the structures above rank in stability at the extremes? model 2 comes first and model 1 comes last.